Compound: LaNdSCl
Source: the Alexandria database
Functional: GGA-PBE
Structure: optimized geometry

Density of states at the Fermi level = 0.7280 states/eV per atom
M_tot = 0.1 μB per formula unit
E_form (uncorrected) = -1.743 eV per atom

Unit cell a=3.9808 b=3.9827 c=7.8181 alpha=90.00 beta=104.73 gamma=120.02
With the nearest neighbours (Å) after each atom.
Fractional coordinates of all 4 atoms:
La: 0.4936 0.1448 0.6541  3 S 2.82
Nd: 0.1149 0.9554 0.0852  3 S 2.79, 3 Cl 3.07
Cl: 0.9627 0.3793 0.3569  3 Nd 3.07, 3 La 3.20
S: 0.3067 0.5513 0.8734  3 Nd 2.79, 3 La 2.82

Compound: LaNdSe2Cl
Source: the Alexandria database
Functional: GGA-PBE
Structure: optimized geometry

Density of states at the Fermi level = 0.4056 states/eV per atom
M_tot = 0.0 μB per formula unit
E_form (uncorrected) = -1.965 eV per atom

Unit cell a=4.2886 b=4.2886 c=14.3080 alpha=90.00 beta=90.00 gamma=90.00
With the nearest neighbours (Å) after each atom.
Fractional coordinates of all 10 atoms:
Cl: 0.5000 0.5000 0.5000  4 Nd 2.97, 4 Cl 3.03
Nd: 0.0000 0.5000 0.3566  4 Cl 2.97, 4 Se 3.12
Se: 0.5000 0.0000 0.8762  5 La 3.06-3.15, 1 Nd 3.33
La: 0.0000 0.5000 0.9039  6 Se 2.99-3.15
Se: 0.5000 0.0000 0.3050  1 La 2.99, 4 Nd 3.12
Nd: 0.5000 0.0000 0.6434  4 Cl 2.97, 4 Se 3.12
La: 0.5000 0.0000 0.0961  6 Se 2.99-3.15
Cl: 0.0000 0.0000 0.5000  4 Nd 2.97, 4 Cl 3.03
Se: 0.0000 0.5000 0.6950  1 La 2.99, 4 Nd 3.12
Se: 0.0000 0.5000 0.1238  5 La 3.06-3.15, 1 Nd 3.33

Compound: La4Nd2Sn3Cl2
Source: the Alexandria database
Functional: GGA-PBE
Structure: optimized geometry

Density of states at the Fermi level = 1.1165 states/eV per atom
M_tot = 0.0 μB per formula unit
E_form (uncorrected) = -0.831 eV per atom

Unit cell a=5.4417 b=5.4417 c=12.9037 alpha=102.17 beta=102.17 gamma=90.00
With the nearest neighbours (Å) after each atom.
Fractional coordinates of all 11 atoms:
La: 0.5870 0.0870 0.1741  2 Cl 2.74
Sn: 0.0000 0.0000 0.0000  8 La 3.46
Sn: 0.8284 0.8284 0.6567  1 Nd 3.16, 4 La 3.43
La: 0.9130 0.4130 0.8259  2 Cl 2.74
Sn: 0.1716 0.1716 0.3433  1 Nd 3.16, 4 La 3.43
Nd: 0.3000 0.3000 0.5999  1 Cl 3.09, 1 Sn 3.16
La: 0.4130 0.9130 0.8259  2 Cl 2.74
Nd: 0.7000 0.7000 0.4001  1 Cl 3.09, 1 Sn 3.16
La: 0.0870 0.5870 0.1741  2 Cl 2.74
Cl: 0.4253 0.4253 0.8506  4 La 2.74
Cl: 0.5747 0.5747 0.1494  4 La 2.74

Compound: LaNdTeCl
Source: the Alexandria database
Functional: GGA-PBE
Structure: optimized geometry

Density of states at the Fermi level = 1.0581 states/eV per atom
M_tot = 0.0 μB per formula unit
E_form (uncorrected) = -1.367 eV per atom

Unit cell a=5.3603 b=5.3603 c=5.3603 alpha=60.00 beta=60.00 gamma=60.00
With the nearest neighbours (Å) after each atom.
Fractional coordinates of all 4 atoms:
La: 0.2500 0.2500 0.2500  4 Cl 3.28, 4 Te 3.28
Te: 0.0000 0.0000 0.0000  4 La 3.28, 4 Nd 3.28
Cl: 0.5000 0.5000 0.5000  4 Nd 3.28, 4 La 3.28
Nd: 0.7500 0.7500 0.7500  4 Cl 3.28, 4 Te 3.28